Compound: CuAsRu3
Source: Alexandria
Functional: PBE
Structure: optimized geometry

Values from the calculation:
Energy above the lowest structure with this stoichiometry = 0.000 eV per formula unit
Energy of formation = 1123.2 meV/atom

Lattice parameters (Å, degrees): 4.5089 4.5089 4.5089 90.00 90.00 90.00
Closest atoms and distances in Å follow each position.
Space group Pm-3m (No. 221)
Unique sites:
Cu  0.0000  0.0000  0.0000  12 Ru 3.19
As  0.5000  0.5000  0.5000  6 Ru 2.25
Ru  0.0000  0.5000  0.5000  2 As 2.25